# Dy5ThSb4 (PBE, relaxed)
data_Dy5ThSb4
_space_group_name_H-M_alt 'P 1'
_space_group_IT_number 1
_space_group_name_Hall 'P 1'
_cell_length_a 4.348
_cell_length_b 8.493
_cell_length_c 9.626
_cell_angle_alpha 105.70
_cell_angle_beta 103.05
_cell_angle_gamma 90.00
loop_
_atom_site_label
_atom_site_fract_x
_atom_site_fract_y
_atom_site_fract_z
Sb1 0.673 0.088 0.346
Dy1 0.160 0.822 0.320
Th1 0.500 0.000 0.000
Sb2 0.012 0.268 0.024
Dy2 0.840 0.178 0.680
Dy3 0.500 0.500 0.000
Sb3 0.327 0.912 0.654
Sb4 0.988 0.732 0.976
Dy4 0.819 0.652 0.637
Dy5 0.181 0.348 0.363
# Spin magnetization in μB per formula unit: 0.000
# E in eV per cell: -53.7
# Space group: C2/m (12)
# Formation energy (no corrections) in meV per atom: -673